(1)
# NaSi2Pt2 (PBE, relaxed)
data_NaSi2Pt2
_chemical_formula_sum 'Na2 Si4 Pt4'
_cell_length_a 4.124
_cell_length_b 4.124
_cell_length_c 10.539
_cell_angle_alpha 90.00
_cell_angle_beta 90.00
_cell_angle_gamma 90.00
_space_group_name_H-M_alt 'I 4/m m m'
_space_group_IT_number 139
_space_group_name_Hall '-I 4 2'
loop_
_atom_site_label
_atom_site_fract_x
_atom_site_fract_y
_atom_site_fract_z
Na1 0.000 0.000 0.000
Si1 0.000 0.500 0.250
Pt1 0.000 0.000 0.368
# Total magnetic moment ... 0.002 Bohr magnetons per cell
# Density ... 8.695 Mg/m³
# ΔE to the lowest computed polymorph ... 50 meV/atom

***

(2)
# Lu3Si13Os4 (PBE, relaxed)
data_Lu3Si13Os4
_chemical_formula_sum 'Lu6 Si26 Os8'
_cell_length_a 8.747
_cell_length_b 8.747
_cell_length_c 8.747
_cell_angle_alpha 90.00
_cell_angle_beta 90.00
_cell_angle_gamma 90.00
_space_group_name_H-M_alt 'P m -3 n'
_space_group_IT_number 223
_space_group_name_Hall '-P 4n 2 3'
loop_
_atom_site_label
_atom_site_fract_x
_atom_site_fract_y
_atom_site_fract_z
Lu1 0.000 0.250 0.500
Si1 0.000 0.000 0.000
Si2 0.000 0.283 0.138
Os1 0.250 0.250 0.250
# Total magnetic moment ... 0.001 Bohr magnetons per cell
# Density ... 8.193 Mg/m³
# Calculated total energy ... -275.98 eV per cell

***

(3)
# Ho2ErCu4Si2Ge2 (PBE, relaxed)
data_Ho2ErCu4Si2Ge2
_chemical_formula_sum 'Ho4 Er2 Cu8 Si4 Ge4'
_cell_length_a 4.125
_cell_length_b 6.580
_cell_length_c 13.768
_cell_angle_alpha 90.00
_cell_angle_beta 90.00
_cell_angle_gamma 90.00
_space_group_name_H-M_alt 'I m m m'
_space_group_IT_number 71
_space_group_name_Hall '-I 2 2'
loop_
_atom_site_label
_atom_site_fract_x
_atom_site_fract_y
_atom_site_fract_z
Ho1 0.000 0.000 0.130
Er1 0.000 0.500 0.000
Cu1 0.000 0.191 0.326
Si1 0.000 0.500 0.216
Ge1 0.000 0.306 0.500
# Total magnetic moment ... 0.001 Bohr magnetons per cell
# Density ... 8.466 Mg/m³
# ΔE to the lowest computed polymorph ... 0 meV/atom

***

(4)
# LiFeAs (PBE, relaxed)
data_LiFeAs
_chemical_formula_sum 'Li4 Fe4 As4'
_cell_length_a 4.0355
_cell_length_b 4.0355
_cell_length_c 10.2344
_cell_angle_alpha 90.00
_cell_angle_beta 90.00
_cell_angle_gamma 120.00
_space_group_name_H-M_alt 'P -3 m 1'
_space_group_IT_number 164
_space_group_name_Hall '-P 3 2"'
loop_
_atom_site_label
_atom_site_fract_x
_atom_site_fract_y
_atom_site_fract_z
Li1 0.0000 0.0000 0.2480
Li2 0.3333 0.6667 0.1375
Fe1 0.0000 0.0000 0.0000
Fe2 0.0000 0.0000 0.5000
Fe3 0.3333 0.6667 0.6332
As1 0.3333 0.6667 0.3909
As2 0.3333 0.6667 0.8847
# Total magnetic moment ... 2.149 Bohr magnetons per cell
# Density ... 6.337 Mg/m³
# Calculated total energy ... -62.14 eV per cell

***

(5)
# PuReIr (PBE, relaxed)
data_PuReIr
_chemical_formula_sum 'Pu4 Re4 Ir4'
_cell_length_a 6.195
_cell_length_b 6.195
_cell_length_c 6.195
_cell_angle_alpha 90.00
_cell_angle_beta 90.00
_cell_angle_gamma 90.00
_space_group_name_H-M_alt 'F -4 3 m'
_space_group_IT_number 216
_space_group_name_Hall 'F -4 2 3'
loop_
_atom_site_label
_atom_site_fract_x
_atom_site_fract_y
_atom_site_fract_z
Pu1 0.000 0.000 0.000
Re1 0.250 0.250 0.250
Ir1 0.250 0.250 0.750
# Total magnetic moment ... 0.119 Bohr magnetons per cell
# Density ... 17.387 Mg/m³
# DFT formation energy ... 911 meV per atom
# ΔE to the lowest computed polymorph ... 151 meV/atom

***

(6)
# KDyGe2O6 (PBE, relaxed)
data_KDyGe2O6
_chemical_formula_sum 'K4 Dy4 Ge8 O24'
_cell_length_a 10.505
_cell_length_b 9.715
_cell_length_c 5.658
_cell_angle_alpha 90.00
_cell_angle_beta 104.25
_cell_angle_gamma 90.00
_space_group_name_H-M_alt 'C 1 2/c 1'
_space_group_IT_number 15
_space_group_name_Hall '-C 2yc'
loop_
_atom_site_label
_atom_site_fract_x
_atom_site_fract_y
_atom_site_fract_z
K1 0.000 0.182 0.250
Dy1 0.000 0.391 0.750
Ge1 0.216 0.087 0.777
O1 0.112 0.426 0.140
O2 0.149 0.020 0.017
O3 0.150 0.248 0.703
# Total magnetic moment ... 0.002 Bohr magnetons per cell
# Density ... 5.256 Mg/m³
# Calculated total energy ... -268.07 eV per cell

***

(7)
# BeZnFe2 (PBE, relaxed)
data_BeZnFe2
_chemical_formula_sum 'Be4 Zn4 Fe8'
_cell_length_a 5.612
_cell_length_b 5.612
_cell_length_c 5.612
_cell_angle_alpha 90.00
_cell_angle_beta 90.00
_cell_angle_gamma 90.00
_space_group_name_H-M_alt 'F -4 3 m'
_space_group_IT_number 216
_space_group_name_Hall 'F -4 2 3'
loop_
_atom_site_label
_atom_site_fract_x
_atom_site_fract_y
_atom_site_fract_z
Be1 0.000 0.000 0.000
Zn1 0.250 0.250 0.750
Fe1 0.000 0.000 0.500
Fe2 0.250 0.250 0.250
# Total magnetic moment ... 15.235 Bohr magnetons per cell
# Density ... 6.993 Mg/m³
# ΔE to the lowest computed polymorph ... 23 meV/atom

***

(8)
# MgNbFeSn (PBE, relaxed)
data_MgNbFeSn
_chemical_formula_sum 'Mg4 Nb4 Fe4 Sn4'
_cell_length_a 6.543
_cell_length_b 6.543
_cell_length_c 6.543
_cell_angle_alpha 90.00
_cell_angle_beta 90.00
_cell_angle_gamma 90.00
_space_group_name_H-M_alt 'F -4 3 m'
_space_group_IT_number 216
_space_group_name_Hall 'F -4 2 3'
loop_
_atom_site_label
_atom_site_fract_x
_atom_site_fract_y
_atom_site_fract_z
Mg1 0.000 0.000 0.000
Nb1 0.250 0.250 0.250
Fe1 0.250 0.250 0.750
Sn1 0.000 0.000 0.500
# Total magnetic moment ... 13.526 Bohr magnetons per cell
# Density ... 6.920 Mg/m³
# ΔE to the lowest computed polymorph ... 135 meV/atom

***

> Which value of density does entry 5 give?

17.387 Mg/m³